Here is an optimized crystal structure of Ba2HfMn2 from Alexandria via LeMat-Bulk. Energies are from PBE-GGA.

The value obtained for the total energy is -5.339 eV/atom. The calculation puts the formation energy at 1.09 eV per atom. The density of states at the Fermi level comes out at 4.6 states/eV/f.u.

```
data_Ba2HfMn2
_space_group_name_H-M_alt 'P 4/m b m'
_space_group_IT_number 127
_space_group_name_Hall '-P 4 2ab'
_cell_length_a 9.1327
_cell_length_b 9.1327
_cell_length_c 3.4512
_cell_angle_alpha 90.00
_cell_angle_beta 90.00
_cell_angle_gamma 90.00
loop_
_atom_site_label
_atom_site_type_symbol
_atom_site_fract_x
_atom_site_fract_y
_atom_site_fract_z
Ba1 Ba 0.1336 0.3664 0.0000
Hf1 Hf 0.0000 0.0000 0.0000
Mn1 Mn 0.1736 0.6736 0.5000
```

Here is an optimized crystal structure of BaNbFe2B from Alexandria via LeMat-Bulk. Energies are from PBE-GGA.

The value obtained for the total energy is -6.270 eV/atom. The calculation puts the formation energy at 0.85 eV per atom. The density of states at the Fermi level comes out at 12.5 states/eV/f.u.

```
data_BaNbFe2B
_space_group_name_H-M_alt 'P 4/m m m'
_space_group_IT_number 123
_space_group_name_Hall '-P 4 2'
_cell_length_a 4.1736
_cell_length_b 4.1736
_cell_length_c 4.5623
_cell_angle_alpha 90.00
_cell_angle_beta 90.00
_cell_angle_gamma 90.00
loop_
_atom_site_label
_atom_site_type_symbol
_atom_site_fract_x
_atom_site_fract_y
_atom_site_fract_z
Ba1 Ba 0.0000 0.0000 0.0000
Nb1 Nb 0.5000 0.5000 0.0000
Fe1 Fe 0.0000 0.5000 0.5000
B1 B 0.5000 0.5000 0.5000
```

Here is an optimized crystal structure of Ca2Hf2Os from Alexandria via LeMat-Bulk. Energies are from PBE-GGA.

The value obtained for the total energy is -6.827 eV/atom. The calculation puts the formation energy at 0.20 eV per atom. The density of states at the Fermi level comes out at 8.6 states/eV/f.u.

```
data_Ca2Hf2Os
_space_group_name_H-M_alt 'P 4/m b m'
_space_group_IT_number 127
_space_group_name_Hall '-P 4 2ab'
_cell_length_a 6.8265
_cell_length_b 6.8265
_cell_length_c 5.6579
_cell_angle_alpha 90.00
_cell_angle_beta 90.00
_cell_angle_gamma 90.00
loop_
_atom_site_label
_atom_site_type_symbol
_atom_site_fract_x
_atom_site_fract_y
_atom_site_fract_z
Ca1 Ca 0.1781 0.3219 0.0000
Hf1 Hf 0.1583 0.6583 0.5000
Os1 Os 0.0000 0.0000 0.5000
```

Here is an optimized crystal structure of YMgNbGe2 from Alexandria via LeMat-Bulk. Energies are from PBE-GGA.

The value obtained for the total energy is -5.290 eV/atom. The calculation puts the formation energy at 0.18 eV per atom. The density of states at the Fermi level comes out at 5.0 states/eV/f.u.

```
data_YMgNbGe2
_space_group_name_H-M_alt 'P 4/m m m'
_space_group_IT_number 123
_space_group_name_Hall '-P 4 2'
_cell_length_a 4.9641
_cell_length_b 4.9641
_cell_length_c 5.0678
_cell_angle_alpha 90.00
_cell_angle_beta 90.00
_cell_angle_gamma 90.00
loop_
_atom_site_label
_atom_site_type_symbol
_atom_site_fract_x
_atom_site_fract_y
_atom_site_fract_z
Y1 Y 0.0000 0.0000 0.0000
Mg1 Mg 0.5000 0.5000 0.0000
Nb1 Nb 0.5000 0.5000 0.5000
Ge1 Ge 0.0000 0.5000 0.5000
```

Here is an optimized crystal structure of Ga2ReHg4 from Alexandria via LeMat-Bulk. Energies are from PBE-GGA.

The value obtained for the total energy is -2.201 eV/atom. The calculation puts the formation energy at 0.62 eV per atom. The density of states at the Fermi level comes out at 4.4 states/eV/f.u.

```
data_Ga2ReHg4
_space_group_name_H-M_alt 'I 4/m m m'
_space_group_IT_number 139
_space_group_name_Hall '-I 4 2'
_cell_length_a 5.3928
_cell_length_b 5.3928
_cell_length_c 13.4088
_cell_angle_alpha 90.00
_cell_angle_beta 90.00
_cell_angle_gamma 90.00
loop_
_atom_site_label
_atom_site_type_symbol
_atom_site_fract_x
_atom_site_fract_y
_atom_site_fract_z
Ga1 Ga 0.0000 0.0000 0.1008
Re1 Re 0.0000 0.0000 0.5000
Hg1 Hg 0.0000 0.0000 0.2991
Hg2 Hg 0.0000 0.5000 0.0000
```

Here is an optimized crystal structure of Ca2Sn2Au from Alexandria via LeMat-Bulk. Energies are from PBE-GGA.

The value obtained for the total energy is -3.430 eV/atom. The calculation puts the formation energy at -0.37 eV per atom. The density of states at the Fermi level comes out at 4.3 states/eV/f.u.

```
data_Ca2Sn2Au
_space_group_name_H-M_alt 'I 4/m m m'
_space_group_IT_number 139
_space_group_name_Hall '-I 4 2'
_cell_length_a 4.1062
_cell_length_b 4.1062
_cell_length_c 17.5353
_cell_angle_alpha 90.00
_cell_angle_beta 90.00
_cell_angle_gamma 90.00
loop_
_atom_site_label
_atom_site_type_symbol
_atom_site_fract_x
_atom_site_fract_y
_atom_site_fract_z
Ca1 Ca 0.0000 0.0000 0.0966
Sn1 Sn 0.0000 0.5000 0.2500
Au1 Au 0.0000 0.0000 0.5000
```

Here is an optimized crystal structure of Eu2ErPb from Alexandria via LeMat-Bulk. Energies are from PBE-GGA.

The value obtained for the total energy is -7.372 eV/atom. The calculation puts the formation energy at -0.17 eV per atom. The density of states at the Fermi level comes out at 6.2 states/eV/f.u.

```
data_Eu2ErPb
_space_group_name_H-M_alt 'P 4/m m m'
_space_group_IT_number 123
_space_group_name_Hall '-P 4 2'
_cell_length_a 4.3349
_cell_length_b 4.3349
_cell_length_c 6.9875
_cell_angle_alpha 90.00
_cell_angle_beta 90.00
_cell_angle_gamma 90.00
loop_
_atom_site_label
_atom_site_type_symbol
_atom_site_fract_x
_atom_site_fract_y
_atom_site_fract_z
Eu1 Eu 0.0000 0.0000 0.2345
Er1 Er 0.5000 0.5000 0.5000
Pb1 Pb 0.5000 0.5000 0.0000
```

Here is an optimized crystal structure of InReHg2 from Alexandria via LeMat-Bulk. Energies are from PBE-GGA.

The value obtained for the total energy is -3.170 eV/atom. The calculation puts the formation energy at 0.78 eV per atom. The density of states at the Fermi level comes out at 2.4 states/eV/f.u.

```
data_InReHg2
_space_group_name_H-M_alt 'I 4/m m m'
_space_group_IT_number 139
_space_group_name_Hall '-I 4 2'
_cell_length_a 4.0854
_cell_length_b 4.0854
_cell_length_c 9.5707
_cell_angle_alpha 90.00
_cell_angle_beta 90.00
_cell_angle_gamma 90.00
loop_
_atom_site_label
_atom_site_type_symbol
_atom_site_fract_x
_atom_site_fract_y
_atom_site_fract_z
In1 In 0.0000 0.0000 0.0000
Re1 Re 0.0000 0.0000 0.5000
Hg1 Hg 0.0000 0.5000 0.2500
```